Arrangement 1

Here is Tb4Pm3Sc after structural relaxation from Alexandria. Energies are from PBE.

- Magnetization: 0.0 μB/cell
- N(E_F): 13.840 states/eV/f.u.

a b c (Å): 11.3630 7.2602 6.2587
angles (deg): 90.00 90.00 90.00
With the nearest neighbours (Å) after each atom.
Space group Pmn2_1 (No. 31)
Asymmetric unit:
Tb1 0.0000 0.1253 0.0000 [2 per cell]  6 Tb 3.48-3.65, 4 Pm 3.54-3.64, 2 Sc 3.61-3.65
Tb2 0.0000 0.8750 0.4943 [2 per cell]  6 Tb 3.50-3.65, 4 Pm 3.54-3.63, 2 Sc 3.61
Tb3 0.2446 0.8742 0.8335 [4 per cell]  1 Sc 3.46, 6 Tb 3.48-3.63, 5 Pm 3.57-3.66
Pm1 0.0000 0.3745 0.4956 [2 per cell]  4 Pm 3.51-3.53, 6 Tb 3.57-3.64, 2 Sc 3.62-3.64
Pm2 0.2496 0.3772 0.8269 [4 per cell]  4 Pm 3.51-3.60, 2 Sc 3.53, 6 Tb 3.54-3.66
Sc1 0.0000 0.6276 0.9939 [2 per cell]  6 Tb 3.46-3.65, 6 Pm 3.53-3.64


Arrangement 2

Here is Tb4Pm3Sc after structural relaxation from Alexandria. Energies are from PBE.

- Magnetization: 0.0 μB/cell
- N(E_F): 12.830 states/eV/f.u.

a b c (Å): 8.6811 8.6811 13.3920
angles (deg): 90.00 90.00 90.00
With the nearest neighbours (Å) after each atom.
Space group I4/mcm (No. 140)
Asymmetric unit:
Tb1 0.1522 0.3478 0.1619 [16 per cell]  5 Pm 3.29-3.50, 3 Tb 3.37-3.54
Pm1 0.0000 0.0000 0.2500 [4 per cell]  2 Sc 3.35, 8 Tb 3.50
Pm2 0.1463 0.3537 0.5000 [8 per cell]  6 Tb 3.29-3.38, 2 Sc 3.32, 1 Pm 3.59
Sc1 0.0000 0.0000 0.0000 [4 per cell]  6 Pm 3.32-3.35


Least stable structure: arrangement 2


Arrangement 1

Here is Tb2Pm8Sc3 after structural relaxation from Alexandria. Energies are from PBE.

- Magnetization: 0.0 μB/cell
- N(E_F): 19.957 states/eV/f.u.

a b c (Å): 13.3272 11.4053 5.9750
angles (deg): 90.00 113.00 90.00
With the nearest neighbours (Å) after each atom.
Space group C2/m (No. 12)
Asymmetric unit:
Tb1 0.1827 0.0000 0.3269 [4 per cell]  6 Pm 3.12-3.41
Pm1 0.0852 0.0000 0.7601 [4 per cell]  3 Pm 3.05-3.31, 3 Tb 3.12-3.40, 2 Sc 3.41
Pm2 0.1364 0.5000 0.1172 [4 per cell]  1 Tb 3.25, 2 Pm 3.35-3.49, 4 Sc 3.42-3.48
Pm3 0.1543 0.2658 0.6464 [8 per cell]  3 Sc 3.27-3.62, 2 Pm 3.31-3.63, 1 Tb 3.41
Sc1 0.0000 0.2325 0.0000 [4 per cell]  8 Pm 3.41-3.62, 2 Tb 3.61
Sc2 0.0000 0.5000 0.5000 [2 per cell]  8 Pm 3.27-3.43


Arrangement 2

Here is Tb2Pm8Sc3 after structural relaxation from Alexandria. Energies are from PBE.

- Magnetization: 0.0 μB/cell
- N(E_F): 18.962 states/eV/f.u.

a b c (Å): 14.9282 8.8808 6.6461
angles (deg): 90.00 99.56 90.00
With the nearest neighbours (Å) after each atom.
Space group C2/m (No. 12)
Asymmetric unit:
Tb1 0.1968 0.0000 0.2988 [4 per cell]  6 Pm 3.19-3.52, 3 Sc 3.42-3.56
Pm1 0.0906 0.5000 0.8987 [4 per cell]  4 Pm 3.22-3.55, 2 Sc 3.41
Pm2 0.1107 0.3172 0.4324 [8 per cell]  3 Pm 3.25-3.56, 2 Tb 3.28-3.52, 2 Sc 3.33-3.36
Pm3 0.1893 0.0000 0.8157 [4 per cell]  2 Tb 3.19-3.46, 3 Sc 3.23-3.56, 1 Pm 3.51
Sc1 0.0000 0.0000 0.5000 [2 per cell]  6 Pm 3.23-3.33, 2 Tb 3.42
Sc2 0.0000 0.1616 0.0000 [4 per cell]  1 Sc 2.87


Least stable structure: arrangement 2


Arrangement 1

Here is TbPmSc3 after structural relaxation from Alexandria. Energies are from PBE.

- Magnetization: 0.0 μB/cell
- N(E_F): 8.392 states/eV/f.u.

a b c (Å): 5.1854 6.6978 16.0662
angles (deg): 90.00 90.00 90.00
With the nearest neighbours (Å) after each atom.
Space group Immm (No. 71)
Asymmetric unit:
Tb1 0.0000 0.2413 0.0000 [4 per cell]  2 Tb 3.23-3.46, 6 Sc 3.25-3.59, 4 Pm 3.61
Pm1 0.0000 0.0000 0.3865 [4 per cell]  8 Sc 3.35-3.41, 4 Tb 3.61, 1 Pm 3.65
Sc1 0.0000 0.2473 0.2022 [8 per cell]  6 Sc 3.01-3.37, 1 Tb 3.25
Sc2 0.0000 0.5000 0.3827 [4 per cell]  2 Pm 3.35, 6 Sc 3.36-3.37, 4 Tb 3.59


Arrangement 2

Here is TbPmSc3 after structural relaxation from Alexandria. Energies are from PBE.

- Magnetization: 0.0 μB/cell
- N(E_F): 8.560 states/eV/f.u.

a b c (Å): 10.7503 7.1266 7.7548
angles (deg): 90.00 104.77 90.00
With the nearest neighbours (Å) after each atom.
Space group C2/m (No. 12)
Asymmetric unit:
Tb1 0.1570 0.0000 0.0012 [4 per cell]  6 Sc 3.12-3.43, 1 Tb 3.37, 1 Pm 3.43
Pm1 0.1050 0.5000 0.2202 [4 per cell]  6 Sc 3.36-3.60, 1 Tb 3.43, 1 Pm 3.58
Sc1 0.0953 0.0000 0.3727 [4 per cell]  7 Sc 2.94-3.25, 1 Tb 3.12
Sc2 0.1415 0.2891 0.6514 [8 per cell]  4 Sc 2.94-3.25


Least stable structure: arrangement 2


Arrangement 1

Here is Tb2Pm3Sc after structural relaxation from Alexandria. Energies are from PBE.

- Magnetization: 0.0 μB/cell
- N(E_F): 8.290 states/eV/f.u.

a b c (Å): 7.1501 7.1596 8.8742
angles (deg): 78.03 78.01 60.40
With the nearest neighbours (Å) after each atom.
Space group P-1 (No. 2)
Asymmetric unit:
Tb1 0.1345 0.1352 0.1753 [2 per cell]  2 Sc 3.46, 7 Pm 3.49-3.66, 3 Tb 3.56-3.60
Tb2 0.1376 0.6380 0.1675 [2 per cell]  8 Pm 3.52-3.60, 1 Sc 3.54, 3 Tb 3.56-3.60
Pm1 0.2489 0.2496 0.4990 [2 per cell]  3 Tb 3.49-3.53, 5 Pm 3.52-3.60, 4 Sc 3.56-3.59
Pm2 0.3611 0.8615 0.8342 [2 per cell]  6 Tb 3.53-3.60, 5 Pm 3.54-3.59, 1 Sc 3.56
Pm3 0.3631 0.3637 0.8264 [2 per cell]  2 Sc 3.48-3.49, 4 Pm 3.52-3.59, 6 Tb 3.57-3.66
Sc1 0.2485 0.7514 0.4992 [2 per cell]  3 Tb 3.46-3.54, 7 Pm 3.48-3.59, 2 Sc 3.58-3.62


Arrangement 2

Here is Tb2Pm3Sc after structural relaxation from Alexandria. Energies are from PBE.

- Magnetization: 0.0 μB/cell
- N(E_F): 11.028 states/eV/f.u.

a b c (Å): 3.4729 5.8030 19.4863
angles (deg): 90.00 90.00 90.00
With the nearest neighbours (Å) after each atom.
Space group Immm (No. 71)
Asymmetric unit:
Tb1 0.0000 0.0000 0.1366 [4 per cell]  7 Pm 3.18-3.53, 2 Tb 3.47
Pm1 0.0000 0.0000 0.3119 [4 per cell]  5 Tb 3.41-3.53, 2 Pm 3.47, 1 Sc 3.67
Pm2 0.0000 0.5000 0.5000 [2 per cell]  2 Sc 2.90, 4 Tb 3.18
Sc1 0.0000 0.0000 0.5000 [2 per cell]  2 Pm 2.90


Least stable structure: arrangement 2


Arrangement 1

Here is Tb7Pm3Sc2 after structural relaxation from Alexandria. Energies are from PBE.

- Magnetization: 0.0 μB/cell
- N(E_F): 16.252 states/eV/f.u.

a b c (Å): 5.8038 3.5325 18.5316
angles (deg): 90.00 93.18 90.00
With the nearest neighbours (Å) after each atom.
Space group P2/m (No. 10)
Asymmetric unit:
Tb1 0.0000 0.0000 0.0000 [1 per cell]  4 Tb 3.35-3.53, 4 Pm 3.40
Tb2 0.1931 0.5000 0.1813 [2 per cell]  6 Tb 3.43-3.53, 2 Sc 3.58, 2 Pm 3.83
Tb3 0.2567 0.5000 0.5385 [2 per cell]  1 Sc 3.09, 2 Tb 3.23
Tb4 0.3090 0.0000 0.8523 [2 per cell]  2 Sc 3.24, 7 Tb 3.35-3.53, 2 Pm 3.39
Pm1 0.2226 0.0000 0.3649 [2 per cell]  2 Pm 3.53, 4 Sc 3.63-3.65, 8 Tb 3.67-3.85
Pm2 0.5000 0.5000 0.0000 [1 per cell]  8 Tb 3.39-3.40, 2 Pm 3.53
Sc1 0.2868 0.5000 0.7056 [2 per cell]  3 Tb 3.09-3.24


Arrangement 2

Here is Tb7Pm3Sc2 after structural relaxation from Alexandria. Energies are from PBE.

- Magnetization: 0.0 μB/cell
- N(E_F): 21.959 states/eV/f.u.

a b c (Å): 6.4586 6.4586 33.2665
angles (deg): 90.00 90.00 120.00
With the nearest neighbours (Å) after each atom.
Space group R-3m (No. 166, hexagonal axes)
Asymmetric unit:
Tb1 0.0000 0.0000 0.0000 [3 per cell]  6 Tb 3.40, 6 Pm 3.75
Tb2 0.0007 0.5003 0.4187 [18 per cell]  5 Tb 3.22-3.40, 2 Sc 3.28-3.29
Pm1 0.0000 0.0000 0.3449 [6 per cell]  12 Tb 3.72-4.06, 3 Pm 3.81
Pm2 0.0000 0.0000 0.5000 [3 per cell]  6 Sc 3.73
Sc1 0.0000 0.0000 0.1667 [6 per cell]  6 Tb 3.28-3.29


Least stable structure: arrangement 2


Arrangement 1

Here is TbPm2Sc4 after structural relaxation from Alexandria. Energies are from PBE.

- Magnetization: 0.0 μB/cell
- N(E_F): 9.132 states/eV/f.u.

a b c (Å): 6.5079 8.4857 8.5008
angles (deg): 79.29 67.55 67.47
With the nearest neighbours (Å) after each atom.
Space group P1 (No. 1)
Asymmetric unit:
Tb1 0.0000 0.0000 0.0000 [1 per cell]  2 Sc 2.89-3.18
Tb2 0.4456 0.0804 0.0280 [1 per cell]  2 Sc 2.89-3.18
Pm1 0.0046 0.5270 0.4700 [1 per cell]  2 Sc 2.88-3.20
Pm2 0.0905 0.0397 0.5134 [1 per cell]  4 Sc 3.11-3.42
Pm3 0.0986 0.5403 0.0142 [1 per cell]  2 Sc 3.07
Pm4 0.4472 0.5531 0.5582 [1 per cell]  2 Sc 2.88-3.20
Sc1 0.4150 0.1790 0.6559 [1 per cell]  1 Tb 3.18, 3 Sc 3.19-3.25, 2 Pm 3.20-3.42
Sc2 0.4367 0.7911 0.7643 [1 per cell]  1 Sc 2.79, 1 Pm 2.88, 1 Tb 2.89
Sc3 0.4379 0.2895 0.2636 [1 per cell]  1 Sc 2.79, 1 Pm 2.88, 1 Tb 2.89
Sc4 0.4712 0.6866 0.1590 [1 per cell]  1 Tb 3.28, 5 Sc 3.31-3.54, 2 Pm 3.34-3.55
Sc5 0.6954 0.9008 0.3717 [1 per cell]  1 Tb 3.18, 3 Sc 3.19-3.25, 2 Pm 3.20-3.42
Sc6 0.7624 0.3935 0.8688 [1 per cell]  1 Tb 3.28, 5 Sc 3.31-3.55, 2 Pm 3.33-3.55
Sc7 0.8643 0.7883 0.7688 [1 per cell]  1 Sc 2.79, 2 Pm 3.07-3.11
Sc8 0.8672 0.2924 0.2590 [1 per cell]  1 Sc 2.79, 2 Pm 3.07-3.11


Arrangement 2

Here is TbPm2Sc4 after structural relaxation from Alexandria. Energies are from PBE.

- Magnetization: 0.1 μB/cell
- N(E_F): 15.384 states/eV/f.u.

a b c (Å): 8.0472 8.0472 6.3258
angles (deg): 90.00 90.00 90.00
With the nearest neighbours (Å) after each atom.
Space group I4/mmm (No. 139)
Asymmetric unit:
Tb1 0.0000 0.0000 0.0000 [2 per cell]  12 Sc 3.50-3.85
Pm1 0.0000 0.5000 0.2500 [4 per cell]  2 Pm 3.16, 8 Sc 3.32
Sc1 0.1928 0.1928 0.5000 [8 per cell]  4 Sc 3.10-3.42, 4 Pm 3.32


Least stable structure: arrangement 2


Arrangement 1

Here is TbPmTmSc after structural relaxation from Alexandria. Energies are from PBE.

- Magnetization: 0.0 μB/cell
- N(E_F): 6.027 states/eV/f.u.

a b c (Å): 7.8525 7.8525 7.8525
angles (deg): 90.00 90.00 90.00
With the nearest neighbours (Å) after each atom.
Space group F-43m (No. 216)
Asymmetric unit:
Tb1 0.0000 0.0000 0.0000 [4 per cell]  4 Tm 3.40, 4 Sc 3.40
Pm1 0.0000 0.0000 0.5000 [4 per cell]  4 Tm 3.40, 4 Sc 3.40
Tm1 0.2500 0.2500 0.2500 [4 per cell]  4 Tb 3.40, 4 Pm 3.40
Sc1 0.2500 0.2500 0.7500 [4 per cell]  4 Tb 3.40, 4 Pm 3.40


Arrangement 2

Here is TbPmTmSc after structural relaxation from Alexandria. Energies are from PBE.

- Magnetization: 0.0 μB/cell
- N(E_F): 6.682 states/eV/f.u.

a b c (Å): 12.0742 5.6172 3.7689
angles (deg): 90.00 108.15 90.00
With the nearest neighbours (Å) after each atom.
Space group Cm (No. 8)
Asymmetric unit:
Tb1 0.0000 0.0000 0.0000 [2 per cell]  2 Sc 3.27, 4 Tm 3.41, 2 Pm 3.64-3.65
Pm1 0.2722 0.0000 0.7746 [2 per cell]  4 Sc 3.38-3.39, 2 Tm 3.58-3.59, 2 Tb 3.64-3.65, 2 Pm 3.77
Tm1 0.0377 0.5000 0.5375 [2 per cell]  2 Sc 3.23-3.24, 4 Tb 3.41, 2 Pm 3.58-3.59
Sc1 0.2669 0.5000 0.2677 [2 per cell]  2 Tm 3.23-3.24, 2 Tb 3.27, 4 Pm 3.38-3.39


Least stable structure: arrangement 1


Arrangement 1

Here is TbPmYSc after structural relaxation from Alexandria. Energies are from PBE.

- Magnetization: 0.0 μB/cell
- N(E_F): 7.808 states/eV/f.u.

a b c (Å): 12.1815 5.6366 3.7956
angles (deg): 90.00 108.14 90.00
With the nearest neighbours (Å) after each atom.
Space group Cm (No. 8)
Asymmetric unit:
Tb1 0.0000 0.0000 0.0000 [2 per cell]  2 Sc 3.24, 4 Pm 3.44
Pm1 0.4551 0.0000 0.4550 [2 per cell]  2 Sc 3.25-3.26, 4 Tb 3.44
Y1 0.2309 0.5000 0.2326 [2 per cell]  4 Sc 3.40, 2 Tb 3.64-3.65, 2 Pm 3.71-3.72, 2 Y 3.80
Sc1 0.2266 0.0000 0.7272 [2 per cell]  2 Tb 3.24, 2 Pm 3.25-3.26, 4 Y 3.40


Arrangement 2

Here is TbPmYSc after structural relaxation from Alexandria. Energies are from PBE.

- Magnetization: 0.1 μB/cell
- N(E_F): 10.309 states/eV/f.u.

a b c (Å): 7.9146 7.9146 7.9146
angles (deg): 90.00 90.00 90.00
With the nearest neighbours (Å) after each atom.
Space group F-43m (No. 216)
Asymmetric unit:
Tb1 0.0000 0.0000 0.0000 [4 per cell]  4 Sc 3.43, 4 Pm 3.43
Pm1 0.2500 0.2500 0.2500 [4 per cell]  4 Tb 3.43, 4 Y 3.43
Y1 0.0000 0.0000 0.5000 [4 per cell]  4 Pm 3.43, 4 Sc 3.43
Sc1 0.2500 0.2500 0.7500 [4 per cell]  4 Y 3.43, 4 Tb 3.43


Least stable structure: arrangement 2